(1)
# SrCa4Ac4 (PBE, relaxed)
data_SrCa4Ac4
_symmetry_space_group_name_H-M 'P 1'
_symmetry_Int_Tables_number 1
_symmetry_space_group_name_Hall 'P 1'
_cell_length_a 8.870
_cell_length_b 8.870
_cell_length_c 8.870
_cell_angle_alpha 95.89
_cell_angle_beta 95.89
_cell_angle_gamma 142.65
loop_
_atom_site_label
_atom_site_type_symbol
_atom_site_fract_x
_atom_site_fract_y
_atom_site_fract_z
_atom_site_occupancy
Sr1 Sr 0.000 0.000 0.000 1
Ca1 Ca 0.331 0.331 0.661 1
Ca2 Ca 0.331 0.669 0.000 1
Ca3 Ca 0.669 0.331 0.000 1
Ca4 Ca 0.669 0.669 0.339 1
Ac1 Ac 0.000 0.341 0.341 1
Ac2 Ac 0.000 0.659 0.659 1
Ac3 Ac 0.341 0.000 0.341 1
Ac4 Ac 0.659 0.000 0.659 1
# - final energy (eV/atom) = -2.87
# - DOS at the Fermi energy (states/eV per cell) = 11.4
# - energy of formation (eV per atom) = 0.035



(2)
# HoBi2Pt (PBE, relaxed)
data_HoBi2Pt
_symmetry_space_group_name_H-M 'P 1'
_symmetry_Int_Tables_number 1
_symmetry_space_group_name_Hall 'P 1'
_cell_length_a 10.185
_cell_length_b 10.185
_cell_length_c 10.185
_cell_angle_alpha 20.97
_cell_angle_beta 20.97
_cell_angle_gamma 20.97
loop_
_atom_site_label
_atom_site_type_symbol
_atom_site_fract_x
_atom_site_fract_y
_atom_site_fract_z
_atom_site_occupancy
Ho1 Ho 0.000 0.000 0.000 1
Bi1 Bi 0.106 0.106 0.106 1
Bi2 Bi 0.894 0.894 0.894 1
Pt1 Pt 0.500 0.500 0.500 1
# - final energy (eV/atom) = -4.64
# - DOS at the Fermi energy (states/eV per cell) = 3.3
# - energy of formation (eV per atom) = -0.040